DFT (PBE-GGA) results for Ba4Zn2CuPd after structural relaxation.

Calculated values
Uncorrected energy: -2.676 eV per atom

Geometry as CIF:
```
data_Ba4Zn2CuPd
_chemical_formula_sum 'Ba4 Zn2 Cu1 Pd1'
_space_group_name_H-M_alt 'P -6 m 2'
_space_group_IT_number 187
_space_group_name_Hall 'P -6 2'
_cell_length_a 4.5733
_cell_length_b 4.5733
_cell_length_c 16.9195
_cell_angle_alpha 90.00
_cell_angle_beta 90.00
_cell_angle_gamma 120.00
loop_
_atom_site_label
_atom_site_type_symbol
_atom_site_fract_x
_atom_site_fract_y
_atom_site_fract_z
Ba1 Ba 0.0000 0.0000 0.1253
Ba2 Ba 0.3333 0.6667 0.3723
Zn1 Zn 0.0000 0.0000 0.5000
Zn2 Zn 0.3333 0.6667 0.0000
Cu1 Cu 0.6667 0.3333 0.5000
Pd1 Pd 0.6667 0.3333 0.0000
```

=====

DFT (PBE-GGA) results for CuAg3 after structural relaxation.

Calculated values
Uncorrected energy: -2.992 eV per atom
Formation energy: 0.22 eV/f.u.

Geometry as CIF:
```
data_CuAg3
_chemical_formula_sum 'Cu6 Ag18'
_space_group_name_H-M_alt 'R -3 m'
_space_group_IT_number 166
_space_group_name_Hall '-R 3 2"'
_cell_length_a 2.8720
_cell_length_b 2.8720
_cell_length_c 55.5875
_cell_angle_alpha 90.00
_cell_angle_beta 90.00
_cell_angle_gamma 120.00
loop_
_atom_site_label
_atom_site_type_symbol
_atom_site_fract_x
_atom_site_fract_y
_atom_site_fract_z
Cu1 Cu 0.0000 0.0000 0.1838
Ag1 Ag 0.0000 0.0000 0.0658
Ag2 Ag 0.0000 0.0000 0.3114
Ag3 Ag 0.0000 0.0000 0.4433
```

=====

DFT (PBE-GGA) results for Al2Fe2Co2NiIr after structural relaxation.

Calculated values
Uncorrected energy: -6.967 eV per atom
Total magnetization: 1.102 μB/atom

Geometry as CIF:
```
data_Al2Fe2Co2NiIr
_chemical_formula_sum 'Al2 Fe2 Co2 Ni1 Ir1'
_space_group_name_H-M_alt 'P -4 m 2'
_space_group_IT_number 115
_space_group_name_Hall 'P -4 -2'
_cell_length_a 4.1006
_cell_length_b 4.1006
_cell_length_c 5.7841
_cell_angle_alpha 90.00
_cell_angle_beta 90.00
_cell_angle_gamma 90.00
loop_
_atom_site_label
_atom_site_type_symbol
_atom_site_fract_x
_atom_site_fract_y
_atom_site_fract_z
Al1 Al 0.0000 0.5000 0.2412
Fe1 Fe 0.0000 0.5000 0.7610
Co1 Co 0.0000 0.0000 0.5000
Co2 Co 0.5000 0.5000 0.0000
Ni1 Ni 0.0000 0.0000 0.0000
Ir1 Ir 0.5000 0.5000 0.5000
```

=====

DFT (PBE-GGA) results for Al2FeCu5 after structural relaxation.

Calculated values
Uncorrected energy: -4.392 eV per atom
E above lowest polymorph: 0.136 eV per formula unit
Total magnetization: 0.315 μB/atom

Geometry as CIF:
```
data_Al2FeCu5
_chemical_formula_sum 'Al8 Fe4 Cu20'
_space_group_name_H-M_alt 'I 41/a m d'
_space_group_IT_number 141
_cell_length_a 5.6712
_cell_length_b 5.6712
_cell_length_c 11.9932
_cell_angle_alpha 90.00
_cell_angle_beta 90.00
_cell_angle_gamma 90.00
loop_
_space_group_symop_operation_xyz
'x,y,z'
'-x,-y,-z'
'-y+1/4,x+3/4,z+1/4'
'y+1/4,-x+3/4,-z+1/4'
'-x+1/2,-y,z+1/2'
'x+1/2,y,-z+1/2'
'y+1/4,-x+1/4,z+3/4'
'-y+1/4,x+1/4,-z+3/4'
'x,-y,-z'
'-x,y,z'
'-y+1/4,-x+1/4,-z+3/4'
'y+1/4,x+1/4,z+3/4'
'-x+1/2,y,-z+1/2'
'x+1/2,-y,z+1/2'
'y+1/4,x+3/4,-z+1/4'
'-y+1/4,-x+3/4,z+1/4'
'x+1/2,y+1/2,z+1/2'
'-x+1/2,-y+1/2,-z+1/2'
'-y+3/4,x+1/4,z+3/4'
'y+3/4,-x+1/4,-z+3/4'
'-x,-y+1/2,z'
'x,y+1/2,-z'
'y+3/4,-x+3/4,z+1/4'
'-y+3/4,x+3/4,-z+1/4'
'x+1/2,-y+1/2,-z+1/2'
'-x+1/2,y+1/2,z+1/2'
'-y+3/4,-x+3/4,-z+1/4'
'y+3/4,x+3/4,z+1/4'
'-x,y+1/2,-z'
'x,-y+1/2,z'
'y+3/4,x+1/4,-z+3/4'
'-y+3/4,-x+1/4,z+3/4'
loop_
_atom_site_label
_atom_site_type_symbol
_atom_site_fract_x
_atom_site_fract_y
_atom_site_fract_z
Al1 Al 0.0000 0.2500 0.1221
Fe1 Fe 0.0000 0.2500 0.8750
Cu1 Cu 0.0000 0.2500 0.3750
Cu2 Cu 0.2485 0.0000 0.5000
```

=====

DFT (PBE-GGA) results for Ta3W after structural relaxation.

Calculated values
Uncorrected energy: -12.172 eV per atom
Formation energy: -0.17 eV/f.u.
Total magnetization: 0.000 μB/atom

Geometry as CIF:
```
data_Ta3W
_chemical_formula_sum 'Ta12 W4'
_space_group_name_H-M_alt 'F m -3 m'
_space_group_IT_number 225
_space_group_name_Hall '-F 4 2 3'
_cell_length_a 6.5516
_cell_length_b 6.5516
_cell_length_c 6.5516
_cell_angle_alpha 90.00
_cell_angle_beta 90.00
_cell_angle_gamma 90.00
loop_
_atom_site_label
_atom_site_type_symbol
_atom_site_fract_x
_atom_site_fract_y
_atom_site_fract_z
Ta1 Ta 0.0000 0.0000 0.0000
Ta2 Ta 0.2500 0.2500 0.2500
W1 W 0.0000 0.0000 0.5000
```

=====

DFT (PBE-GGA) results for TmHfOs after structural relaxation.

Calculated values
Uncorrected energy: -7.605 eV per atom
Formation energy: 2.84 eV/f.u.
Total magnetization: 0.001 μB/atom

Geometry as CIF:
```
data_TmHfOs
_chemical_formula_sum 'Tm4 Hf4 Os4'
_space_group_name_H-M_alt 'F -4 3 m'
_space_group_IT_number 216
_space_group_name_Hall 'F -4 2 3'
_cell_length_a 6.4457
_cell_length_b 6.4457
_cell_length_c 6.4457
_cell_angle_alpha 90.00
_cell_angle_beta 90.00
_cell_angle_gamma 90.00
loop_
_atom_site_label
_atom_site_type_symbol
_atom_site_fract_x
_atom_site_fract_y
_atom_site_fract_z
Tm1 Tm 0.0000 0.0000 0.0000
Hf1 Hf 0.2500 0.2500 0.7500
Os1 Os 0.2500 0.2500 0.2500
```

=====

- Which of these has the lowest uncorrected energy?
  Ta3W